Entry 1:
10
Lattice="6.461 0.000 0.000 0.000 6.461 0.000 0.000 0.000 4.845" Properties=species:S:1:pos:R:3 comment="Y2V2Ir, relaxed, DFT PBE-GGA" crystal_system=tetragonal total_energy_ev_per_fu=-40.23 spacegroup="No. 127" n_ef_per_ev_cell=12.87 pbc="T T T"
Y 1.125 2.106 0.000
Y 2.106 5.336 0.000
Y 4.355 1.125 0.000
Y 5.336 4.355 0.000
V 0.888 4.118 2.423
V 2.343 0.888 2.423
V 4.118 5.573 2.423
V 5.573 2.343 2.423
Ir 0.000 0.000 2.423
Ir 3.230 3.230 2.423

Entry 2:
8
Lattice="-3.935 3.935 3.057 3.935 -3.935 3.057 3.935 3.935 -3.057" Properties=species:S:1:pos:R:3 comment="Y2VIr, relaxed, DFT PBE-GGA" polymorph_energy_mev_per_atom=464 crystal_system=tetragonal total_energy_ev_per_fu=-29.93 spacegroup="No. 122" n_ef_per_ev_cell=11.02 pbc="T T T"
Y 5.902 1.688 -0.764
Y 1.688 1.967 0.764
Y -1.967 2.247 2.293
Y 2.247 1.967 3.821
V 3.935 0.000 1.528
V 0.000 0.000 3.057
Ir 0.000 0.000 0.000
Ir 0.000 3.935 1.528

Entry 3:
4
Lattice="3.019 0.000 0.000 0.000 3.019 0.000 0.000 0.000 7.412" Properties=species:S:1:pos:R:3 comment="YVIr2, relaxed, DFT PBE-GGA" polymorph_energy_mev_per_atom=0 crystal_system=tetragonal total_energy_ev_per_fu=-35.44 spacegroup="No. 123" n_ef_per_ev_cell=2.89 pbc="T T T"
Y 0.000 0.000 0.000
V 0.000 0.000 3.706
Ir 1.509 1.509 2.216
Ir 1.509 1.509 5.196